The following is a PBE calculation of an optimized crystal structure of Si2HgAs, from Alexandria.

POSCAR file:
```
Si2HgAs
1.0
2.6819 0.0000 0.0000
0.0000 4.6926 0.0000
-0.0163 0.0000 6.4774
Si Hg As
2 1 1
direct
0.0013 0.0000 0.1963 Si
0.9987 0.0000 0.8037 Si
0.0000 0.5000 0.5000 Hg
0.0000 0.5000 0.0000 As
```

- SG: No. 10
- Offset from the most stable computed form: 157 meV per atom
- Crystal system: monoclinic

=====

The following is a PBE calculation of an optimized crystal structure of Si2HgAs, from Alexandria.

POSCAR file:
```
Si2HgAs
1.0
-1.9595 1.9595 5.0622
1.9595 -1.9595 5.0622
1.9595 1.9595 -5.0622
Si Hg As
2 1 1
direct
0.0000 0.0000 0.0000 Si
0.7500 0.2500 0.5000 Si
0.5000 0.5000 0.0000 Hg
0.2500 0.7500 0.5000 As
```

- SG: No. 119
- Offset from the most stable computed form: 367 meV per atom
- Crystal system: tetragonal

=====

The following is a PBE calculation of an optimized crystal structure of SiHg3As, from Alexandria.

POSCAR file:
```
SiHg3As
1.0
5.3124 0.0000 0.0000
0.0000 5.3124 0.0000
0.0000 0.0000 5.3124
Si Hg As
1 3 1
direct
0.0000 0.0000 0.0000 Si
0.0000 0.5000 0.5000 Hg
0.5000 0.0000 0.5000 Hg
0.5000 0.5000 0.0000 Hg
0.5000 0.5000 0.5000 As
```

- SG: No. 221
- Offset from the most stable computed form: 190 meV per atom
- Crystal system: cubic

=====

The following is a PBE calculation of an optimized crystal structure of SiHgAs4, from Alexandria.

POSCAR file:
```
SiHgAs4
1.0
0.0000 3.9839 3.9839
3.9839 0.0000 3.9839
3.9839 3.9839 0.0000
Si Hg As
1 1 4
direct
0.0000 0.0000 0.0000 Si
0.2500 0.2500 0.2500 Hg
0.1211 0.6263 0.6263 As
0.6263 0.1211 0.6263 As
0.6263 0.6263 0.1211 As
0.6263 0.6263 0.6263 As
```

- SG: No. 216
- Crystal system: cubic

=====

In meV per atom, the energy relative to the elements, uncorrected values for the records above are, in order, 409.9 620.0 761.5 581.2.
In kg/m³, the ρ values for the records above are, in order, 6757 7084 7806 6938.
In states/eV/atom, the density of states at the Fermi level values for the records above are, in order, 0.2457 0.3304 0.8658 0.6020.